Entry from Alexandria via LeMat-Bulk: a relaxed NaErCrF6 crystal (PBE+U).

abc: 5.7391 5.7391 9.5782
angles: 90.00 90.00 120.00
Space group P-31c (No. 163)
Unique sites:
Na: 0.0000 0.0000 0.0000 x2
Er: 0.3333 0.6667 0.2500 x2
Cr: 0.3333 0.6667 0.7500 x2
F: 0.0043 0.3555 0.6354 x12

Values from the calculation:
Total energy   -5.92 eV per atom